A geometry-optimized KZr2MoW structure, computed with PBE.

Computed properties:
- Total moment: 0.130 μB/atom
- Energy of formation from the pure elements: 2685 meV/atom

Geometry as POSCAR:
```
KZr2MoW
1.0
-4.4997 1.5124 0.2012
-1.3565 -3.7406 -2.2195
-0.5716 -2.2519 4.1445
K Mo Zr W
1 1 2 1
direct
0.0000 0.0000 0.0000 K
0.5000 0.5000 0.5000 Mo
0.0000 0.0000 0.5000 Zr
0.5000 0.0000 0.0000 Zr
0.0000 0.5000 0.0000 W
```

A geometry-optimized NpTcSn2 structure, computed with PBE.

Computed properties:
- Total moment: 0.711 μB/atom
- Energy of formation from the pure elements: 178 meV/atom
- Relative energy among the computed polymorphs: 0.45 eV/f.u.

Geometry as POSCAR:
```
NpTcSn2
1.0
5.2745 0.0000 0.0000
0.0000 4.9117 -1.3585
-2.6372 -3.0115 8.1909
Np Tc Sn
2 2 4
direct
0.8733 0.2500 0.0000 Np
0.1267 0.7500 0.0000 Np
0.5817 0.7500 0.0000 Tc
0.4183 0.2500 0.0000 Tc
0.4209 0.6183 0.3681 Sn
0.5791 0.3817 0.6319 Sn
0.9472 0.1183 0.3681 Sn
0.0528 0.8817 0.6319 Sn
```

A geometry-optimized Ce4CSeI2 structure, computed with PBE.

Computed properties:
- Total moment: 0.528 μB/atom
- E_form (uncorrected): -0.958 eV/atom

Geometry as POSCAR:
```
Ce4CSeI2
1.0
3.9789 0.0000 0.0000
0.0000 7.2198 0.2112
0.0000 -2.4602 7.5895
Ce C Se I
4 1 1 2
direct
0.5000 0.2716 0.1916 Ce
0.5000 0.7284 0.8084 Ce
0.0000 0.3055 0.8199 Ce
0.0000 0.6945 0.1801 Ce
0.5000 0.5000 0.0000 C
0.0000 0.0000 0.0000 Se
0.5000 0.0000 0.5000 I
0.0000 0.5000 0.5000 I
```

> Among the records above, which one has the lowest total moment?

KZr2MoW

> What is the total moment in the third record?

0.528 μB/atom